Below is crystalline LaNd5Y at its relaxed geometry, with properties calculated at the PBE level.

Properties
SG: C2/m, No. 12
ΔE_f in meV per atom: 956.3
E_tot in eV for the cell shown: -28.5

a b c (Å): 8.046 8.046 5.917
angles (deg): 111.36 111.36 66.24
Fractional coordinates of all 7 atoms:
La  0.000  0.000  0.000
Nd  0.000  0.000  0.500
Nd  0.248  0.248  0.248
Nd  0.323  0.677  0.000
Nd  0.677  0.323  0.000
Nd  0.752  0.752  0.752
Y  0.500  0.500  0.500